VASP calculation (PBE-GGA) on CoCu2 after structural relaxation.

The calculated formation energy comes out at 349 meV per atom. The value obtained for the density of states at the Fermi level is 12.79 states/eV per cell. The crystal system is tetragonal. The value obtained for the calculated density is 8.27 Mg/m³. Its uncorrected energy is -14.3 eV/f.u.

The structure belongs to space group I4/mcm (No. 140); the cell edges are 5.8003, 5.8003 and 4.4404 Å and the angles 90.00°, 90.00° and 90.00°. The asymmetric unit holds Co at (0.0000, 0.0000, 0.2500) and Cu at (0.1521, 0.3479, 0.0000).